Entry 1:
Compound: ZrTcOs2
Source: the Alexandria database
Functional: PBE
Structure: optimized geometry

The structure in POSCAR format:
```
ZrTcOs2
1.0
0.000 3.182 3.182
3.182 0.000 3.182
3.182 3.182 0.000
Zr Tc Os
1 1 2
Cartesian
0.000 0.000 0.000
4.772 4.772 4.772
1.591 1.591 1.591
3.182 3.182 3.182
```



Entry 2:
Compound: ZrTc2Os
Source: the Alexandria database
Functional: PBE
Structure: optimized geometry

The structure in POSCAR format:
```
ZrTc2Os
1.0
2.810 0.000 0.000
0.000 2.810 0.000
0.000 0.000 8.274
Zr Tc Os
1 2 1
Cartesian
0.000 0.000 0.000
1.405 1.405 2.319
1.405 1.405 5.955
0.000 0.000 4.137
```



Entry 3:
Compound: ZrTcOs
Source: the Alexandria database
Functional: PBE
Structure: optimized geometry

The structure in POSCAR format:
```
ZrTcOs
1.0
4.836 -2.148 0.000
4.836 2.148 0.000
-4.388 0.000 5.170
Zr Tc Os
2 2 2
Cartesian
-0.766 0.000 1.627
6.050 0.000 3.543
-0.743 0.000 4.801
6.028 0.000 0.370
1.953 0.000 1.498
3.331 0.000 3.672
```



Entry 4:
Compound: ZrTc2Os
Source: the Alexandria database
Functional: PBE
Structure: optimized geometry

The structure in POSCAR format:
```
ZrTc2Os
1.0
2.790 0.000 0.000
0.000 4.364 0.000
-1.149 0.000 5.279
Zr Tc Os
1 2 1
Cartesian
0.000 0.000 0.000
-0.330 2.182 3.891
0.742 0.000 2.661
1.932 2.182 1.354
```



Entry 5:
Compound: ZrTc2Os
Source: the Alexandria database
Functional: PBE
Structure: optimized geometry

The structure in POSCAR format:
```
ZrTc2Os
1.0
-1.572 2.279 4.493
1.572 -2.279 4.493
1.572 2.279 -4.493
Zr Tc Os
1 2 1
Cartesian
0.000 0.000 0.000
0.000 0.000 4.548
0.000 2.279 2.237
1.572 0.000 2.291
```



Entry 6:
Compound: ZrTc2Os
Source: the Alexandria database
Functional: PBE
Structure: optimized geometry

The structure in POSCAR format:
```
ZrTc2Os
1.0
-3.679 3.679 2.638
3.679 -3.679 2.638
3.679 3.679 -2.638
Zr Tc Os
2 4 2
Cartesian
0.000 0.000 0.000
0.000 3.679 1.319
1.840 -1.571 1.979
2.108 1.840 0.660
1.840 5.250 -0.660
1.571 1.840 3.298
3.679 0.000 1.319
0.000 0.000 2.638
```



Entry 7:
Compound: ZrTc2Os
Source: the Alexandria database
Functional: PBE
Structure: optimized geometry

The structure in POSCAR format:
```
ZrTc2Os
1.0
4.858 -1.472 0.000
4.858 1.472 0.000
-1.131 0.000 4.602
Zr Tc Os
1 2 1
Cartesian
0.000 0.000 0.000
1.417 0.000 3.284
7.169 0.000 1.318
4.293 0.000 2.301
```



Entry 8:
Compound: ZrTc2Os
Source: the Alexandria database
Functional: PBE
Structure: optimized geometry

The structure in POSCAR format:
```
ZrTc2Os
1.0
-1.986 1.986 4.106
1.986 -1.986 4.106
1.986 1.986 -4.106
Zr Tc Os
1 2 1
Cartesian
0.000 0.000 0.000
1.986 0.000 2.053
0.000 1.986 2.053
0.000 0.000 4.106
```



Entry 9:
Compound: ZrTcOs2
Source: the Alexandria database
Functional: PBE
Structure: optimized geometry

The structure in POSCAR format:
```
ZrTcOs2
1.0
2.864 0.000 0.000
0.000 2.864 0.000
0.000 0.000 7.857
Zr Tc Os
1 1 2
Cartesian
0.000 0.000 0.000
0.000 0.000 3.928
1.432 1.432 2.179
1.432 1.432 5.678
```



Entry 10:
Compound: ZrTc2Os
Source: the Alexandria database
Functional: PBE
Structure: optimized geometry

The structure in POSCAR format:
```
ZrTc2Os
1.0
2.867 0.000 0.000
0.000 3.842 0.000
0.000 0.000 5.965
Zr Tc Os
1 2 1
Cartesian
0.000 0.000 0.000
1.434 1.921 1.702
1.434 1.921 4.263
0.000 0.000 2.983
```



Entry 11:
Compound: ZrTcOs2
Source: the Alexandria database
Functional: PBE
Structure: optimized geometry

The structure in POSCAR format:
```
ZrTcOs2
1.0
1.397 0.807 9.445
-1.397 0.807 9.445
0.000 -1.613 9.445
Zr Tc Os
1 1 2
Cartesian
0.000 0.000 0.000
0.000 0.000 14.168
0.000 0.000 6.861
0.000 0.000 21.475
```



Entry 12:
Compound: ZrTcOs3
Source: the Alexandria database
Functional: PBE
Structure: optimized geometry

The structure in POSCAR format:
```
ZrTcOs3
1.0
4.649 0.000 0.000
0.000 4.649 0.000
0.000 0.000 4.649
Zr Tc Os
1 1 3
Cartesian
0.000 0.000 0.000
2.324 2.324 2.324
0.000 2.324 2.324
2.324 0.000 2.324
2.324 2.324 0.000
```



Entry 13:
Compound: ZrTcOs2
Source: the Alexandria database
Functional: PBE
Structure: optimized geometry

The structure in POSCAR format:
```
ZrTcOs2
1.0
4.593 0.000 0.000
0.000 4.593 0.000
0.000 0.000 3.055
Zr Tc Os
1 1 2
Cartesian
0.000 0.000 0.000
2.296 2.296 0.000
0.000 2.296 1.528
2.296 0.000 1.528
```



Entry 14:
Compound: ZrTcOs2
Source: the Alexandria database
Functional: PBE
Structure: optimized geometry

The structure in POSCAR format:
```
ZrTcOs2
1.0
2.838 0.000 0.000
0.000 3.895 0.000
-0.021 0.000 5.889
Zr Tc Os
1 1 2
Cartesian
0.000 0.000 0.000
1.411 1.947 4.200
1.404 1.947 1.635
2.825 0.000 2.923
```



Entry 15:
Compound: ZrTc2Os
Source: the Alexandria database
Functional: PBE
Structure: optimized geometry

The structure in POSCAR format:
```
ZrTc2Os
1.0
-1.597 2.253 4.486
1.597 -2.253 4.486
1.597 2.253 -4.486
Zr Tc Os
1 2 1
Cartesian
0.000 0.000 0.000
1.597 0.000 2.230
0.000 2.253 2.256
0.000 0.000 4.486
```



Entry 16:
Compound: Zr3TcOs2
Source: the Alexandria database
Functional: PBE
Structure: optimized geometry

The structure in POSCAR format:
```
Zr3TcOs2
1.0
3.289 0.000 0.000
0.000 3.289 0.000
0.000 0.000 9.854
Zr Tc Os
3 1 2
Cartesian
0.000 0.000 0.000
0.000 0.000 3.303
0.000 0.000 6.551
1.644 1.644 4.927
1.644 1.644 1.631
1.644 1.644 8.222
```



Entry 17:
Compound: ZrTcOs2
Source: the Alexandria database
Functional: PBE
Structure: optimized geometry

The structure in POSCAR format:
```
ZrTcOs2
1.0
-2.998 2.998 5.398
2.998 -2.998 5.398
2.998 2.998 -5.398
Zr Tc Os
2 2 4
Cartesian
0.000 0.000 0.000
0.000 2.998 2.699
2.998 0.000 2.699
0.000 0.000 5.398
1.499 -1.263 4.048
1.735 1.499 1.349
1.499 4.261 -1.349
1.263 1.499 6.747
```



Entry 18:
Compound: ZrTc2Os
Source: the Alexandria database
Functional: PBE
Structure: optimized geometry

The structure in POSCAR format:
```
ZrTc2Os
1.0
1.410 0.814 9.430
-1.410 0.814 9.430
0.000 -1.628 9.430
Zr Tc Os
1 2 1
Cartesian
0.000 0.000 0.000
0.000 0.000 6.839
0.000 0.000 21.451
0.000 0.000 14.145
```



Entry 19:
Compound: ZrTcOs2
Source: the Alexandria database
Functional: PBE
Structure: optimized geometry

The structure in POSCAR format:
```
ZrTcOs2
1.0
-1.986 1.986 4.072
1.986 -1.986 4.072
1.986 1.986 -4.072
Zr Tc Os
1 1 2
Cartesian
0.000 0.000 0.000
0.000 1.986 2.036
1.986 0.000 2.036
0.000 0.000 4.072
```



Entry 20:
Compound: ZrTc2Os
Source: the Alexandria database
Functional: PBE
Structure: optimized geometry

The structure in POSCAR format:
```
ZrTc2Os
1.0
-2.020 2.020 3.961
2.020 -2.020 3.961
2.020 2.020 -3.961
Zr Tc Os
1 2 1
Cartesian
0.000 0.000 0.000
0.000 0.000 3.961
0.000 2.020 1.981
2.020 0.000 1.981
```



Number 1: formation enthalpy at 0 K 0.20 eV per atom, energy relative to the lowest polymorph listed for this composition 197 meV/atom, ρ 14.7 g cm⁻³. Number 2: formation enthalpy at 0 K 0.09 eV per atom, energy relative to the lowest polymorph listed for this composition 90 meV/atom, ρ 12.1 g cm⁻³. Number 3: formation enthalpy at 0 K -0.18 eV per atom, energy relative to the lowest polymorph listed for this composition 0 meV/atom, ρ 11.7 g cm⁻³. Number 4: formation enthalpy at 0 K 0.09 eV per atom, energy relative to the lowest polymorph listed for this composition 86 meV/atom, ρ 12.3 g cm⁻³. Number 5: formation enthalpy at 0 K 0.03 eV per atom, energy relative to the lowest polymorph listed for this composition 29 meV/atom, ρ 12.3 g cm⁻³. Number 6: formation enthalpy at 0 K 0.49 eV per atom, energy relative to the lowest polymorph listed for this composition 488 meV/atom, ρ 11.1 g cm⁻³. Number 7: formation enthalpy at 0 K 0.03 eV per atom, energy relative to the lowest polymorph listed for this composition 28 meV/atom, ρ 12.0 g cm⁻³. Number 8: formation enthalpy at 0 K 0.11 eV per atom, energy relative to the lowest polymorph listed for this composition 107 meV/atom, ρ 12.2 g cm⁻³. Number 9: formation enthalpy at 0 K 0.00 eV per atom, energy relative to the lowest polymorph listed for this composition 0 meV/atom, ρ 14.7 g cm⁻³. Number 10: formation enthalpy at 0 K 0.09 eV per atom, energy relative to the lowest polymorph listed for this composition 92 meV/atom, ρ 12.1 g cm⁻³. Number 11: formation enthalpy at 0 K 0.17 eV per atom, energy relative to the lowest polymorph listed for this composition 176 meV/atom, ρ 14.8 g cm⁻³. Number 12: formation enthalpy at 0 K 1.53 eV per atom, energy relative to the lowest polymorph listed for this composition 0 meV/atom, ρ 12.6 g cm⁻³. Number 13: formation enthalpy at 0 K 0.10 eV per atom, energy relative to the lowest polymorph listed for this composition 96 meV/atom, ρ 14.7 g cm⁻³. Number 14: formation enthalpy at 0 K 0.07 eV per atom, energy relative to the lowest polymorph listed for this composition 68 meV/atom, ρ 14.5 g cm⁻³. Number 15: formation enthalpy at 0 K 0.04 eV per atom, energy relative to the lowest polymorph listed for this composition 36 meV/atom, ρ 12.3 g cm⁻³. Number 16: formation enthalpy at 0 K -0.49 eV per atom, energy relative to the lowest polymorph listed for this composition 8 meV/atom, ρ 11.7 g cm⁻³. Number 17: formation enthalpy at 0 K 1.30 eV per atom, energy relative to the lowest polymorph listed for this composition 1305 meV/atom, ρ 9.7 g cm⁻³. Number 18: formation enthalpy at 0 K 0.22 eV per atom, energy relative to the lowest polymorph listed for this composition 219 meV/atom, ρ 12.2 g cm⁻³. Number 19: formation enthalpy at 0 K 0.08 eV per atom, energy relative to the lowest polymorph listed for this composition 82 meV/atom, ρ 14.7 g cm⁻³. Number 20: formation enthalpy at 0 K 0.10 eV per atom, energy relative to the lowest polymorph listed for this composition 99 meV/atom, ρ 12.3 g cm⁻³.